(1)
# OsPbF7

A relaxed OsPbF7 crystal (GGA-PBE, OQMD).

Unit cell a=4.7591 b=7.0999 c=6.4516 alpha=90.00 beta=95.27 gamma=90.00
Last column: nearest neighbours and their distance in Å.
Fractional positions:
Os 0.0404 0.2500 0.2202  7 F 1.93-1.97
Os 0.9596 0.7500 0.7798  7 F 1.93-1.97
Pb 0.4563 0.2500 0.7026  9 F 2.40-2.65
Pb 0.5437 0.7500 0.2974  9 F 2.40-2.65
F 0.0875 0.7500 0.5044  1 Os 1.93
F 0.0941 0.7500 0.0780  1 Os 1.97
F 0.2163 0.5381 0.8160  1 Os 1.94
F 0.2163 0.9619 0.8160  1 Os 1.94
F 0.2926 0.0598 0.3607  1 Os 1.97
F 0.2926 0.4402 0.3607  1 Os 1.97
F 0.3674 0.2500 0.0634  1 Os 1.93
F 0.6326 0.7500 0.9366  1 Os 1.93
F 0.7074 0.5598 0.6393  1 Os 1.97
F 0.7074 0.9402 0.6393  1 Os 1.97
F 0.7837 0.0381 0.1840  1 Os 1.94
F 0.7837 0.4619 0.1840  1 Os 1.94
F 0.9059 0.2500 0.9220  1 Os 1.97
F 0.9125 0.2500 0.4956  1 Os 1.93

E: -4.90 eV/atom
Symmetry: No. 11
Total magnetization: 0.11 μB/atom

(2)
# SmSbPb

A relaxed SmSbPb crystal (GGA-PBE, OQMD).

Unit cell a=7.4468 b=7.4468 c=7.4468 alpha=90.00 beta=90.00 gamma=90.00
Last column: nearest neighbours and their distance in Å.
Fractional positions:
Sm 0.0000 0.0000 0.0000  4 Sb 3.22, 4 Pb 3.22
Sm 0.0000 0.5000 0.5000  4 Sb 3.22, 4 Pb 3.22
Sm 0.5000 0.0000 0.5000  4 Sb 3.22, 4 Pb 3.22
Sm 0.5000 0.5000 0.0000  4 Sb 3.22, 4 Pb 3.22
Sb 0.2500 0.2500 0.2500  4 Sm 3.22
Sb 0.2500 0.7500 0.7500  4 Sm 3.22
Sb 0.7500 0.2500 0.7500  4 Sm 3.22
Sb 0.7500 0.7500 0.2500  4 Sm 3.22
Pb 0.2500 0.2500 0.7500  4 Sm 3.22
Pb 0.2500 0.7500 0.2500  4 Sm 3.22
Pb 0.7500 0.2500 0.2500  4 Sm 3.22
Pb 0.7500 0.7500 0.7500  4 Sm 3.22

E: -4.41 eV/atom
Symmetry: No. 216
Polymorph energy (0 for the lowest one): 0.066 eV per atom
Total magnetization: 0.00 μB/atom